Below is Pm6InGa6 after structural relaxation, with properties calculated at the PBE-GGA level.

Values from the calculation:
Space group: P6/mmm, No. 191

Structure (extended XYZ):
```
13
Lattice="6.1050 0.0000 0.0000 -3.0525 5.2871 0.0000 0.0000 0.0000 10.3553" Properties=species:S:1:pos:R:3 pbc="T T T"
Pm 0.0000 0.0000 2.0321
Pm 0.0000 0.0000 8.3232
Pm 0.0000 3.5247 0.0000
Pm 0.0000 3.5247 5.1776
Pm 3.0525 1.7624 0.0000
Pm 3.0525 1.7624 5.1776
In 0.0000 0.0000 5.1776
Ga -1.5263 2.6435 2.5603
Ga -1.5263 2.6435 7.7950
Ga 3.0525 0.0000 2.5603
Ga 3.0525 0.0000 7.7950
Ga 1.5263 2.6435 2.5603
Ga 1.5263 2.6435 7.7950
```

Below is Pm5InGa3 after structural relaxation, with properties calculated at the PBE-GGA level.

Values from the calculation:
Space group: P6_3/mcm, No. 193

Structure (extended XYZ):
```
18
Lattice="9.2041 0.0000 0.0000 -4.6021 7.9710 0.0000 0.0000 0.0000 6.5699" Properties=species:S:1:pos:R:3 pbc="T T T"
Pm -1.3827 2.3949 1.6425
Pm -3.2193 5.5760 4.9274
Pm 2.7654 0.0000 1.6425
Pm 1.3827 2.3949 4.9274
Pm 0.0000 5.3140 0.0000
Pm 0.0000 5.3140 3.2850
Pm 4.6021 2.6570 0.0000
Pm 4.6021 2.6570 3.2850
Pm 6.4387 0.0000 4.9274
Pm 3.2193 5.5760 1.6425
In 0.0000 0.0000 0.0000
In 0.0000 0.0000 3.2850
Ga -1.6780 2.9064 4.9274
Ga -2.9240 5.0646 1.6425
Ga 3.3560 0.0000 4.9274
Ga 1.6780 2.9064 1.6425
Ga 5.8481 0.0000 1.6425
Ga 2.9240 5.0646 4.9274
```

Below is Pm3In4Ga2 after structural relaxation, with properties calculated at the PBE-GGA level.

Values from the calculation:
Space group: C2/m, No. 12

Structure (extended XYZ):
```
9
Lattice="5.6618 -2.3726 0.0000 5.6618 2.3726 0.0000 -3.6471 0.0000 8.4660" Properties=species:S:1:pos:R:3 pbc="T T T"
Pm 0.0000 0.0000 0.0000
Pm 2.3782 0.0000 2.9573
Pm 5.2982 0.0000 5.5087
In -1.0162 0.0000 3.0293
In -0.2893 0.0000 7.8803
In 7.9658 0.0000 0.5858
In 8.6927 0.0000 5.4368
Ga 1.7055 0.0000 5.9935
Ga 5.9709 0.0000 2.4725
```

Below is Pm3In4Ga2 after structural relaxation, with properties calculated at the PBE-GGA level.

Values from the calculation:
Space group: P-62m, No. 189

Structure (extended XYZ):
```
9
Lattice="7.6802 0.0000 0.0000 -3.8401 6.6512 0.0000 0.0000 0.0000 4.4799" Properties=species:S:1:pos:R:3 pbc="T T T"
Pm -1.5646 2.7100 0.0000
Pm 3.1292 0.0000 0.0000
Pm 2.2755 3.9413 0.0000
In 0.0000 0.0000 0.0000
In -2.8160 4.8775 2.2400
In 1.0240 1.7737 2.2400
In 5.6321 0.0000 2.2400
Ga 0.0000 4.4341 2.2400
Ga 3.8401 2.2171 2.2400
```

Going through the records in order, we get N(E_F) values of 14.02; 14.30; 3.73; 5.55 states/eV/cell.
Going through the records in order, we get VASP energy values of -55.3; -79.4; -35.7; -35.6 eV for the cell shown.
Going through the records in order, we get E_form values of -0.45; -0.46; -0.50; -0.48 eV per atom.